(1)
{"formula": "AlCuMo2", "functional": "PBEsol", "state": "optimized geometry", "e_form_ev_per_atom": 0.10, "m_tot_mub_per_cell": 0.0, "volume_a3_per_atom": 14.2, "mass_density_g_cm3": 8.2, "final_energy_ev_per_atom": -7.8933, "cell": [[0.000, 3.054, 3.054], [3.054, 0.000, 3.054], [3.054, 3.054, 0.000]], "species": ["Al", "Cu", "Mo", "Mo"], "frac_coords": [[0.000, 0.000, 0.000], [0.250, 0.250, 0.250], [0.500, 0.500, 0.500], [0.750, 0.750, 0.750]]}

(2)
{"formula": "AlCuMo2", "functional": "PBEsol", "state": "optimized geometry", "e_form_ev_per_atom": -0.01, "m_tot_mub_per_cell": 0.0, "volume_a3_per_atom": 14.1, "mass_density_g_cm3": 8.3, "final_energy_ev_per_atom": -8.0014, "cell": [[3.364, 0.000, 0.000], [0.000, 3.954, 0.000], [0.000, 0.000, 4.253]], "species": ["Al", "Cu", "Mo", "Mo"], "frac_coords": [[0.000, 0.000, 0.000], [0.500, 0.500, 0.000], [0.000, 0.500, 0.500], [0.500, 0.000, 0.500]]}

(3)
{"formula": "Al2CuMo", "functional": "PBEsol", "state": "optimized geometry", "e_form_ev_per_atom": -0.22, "m_tot_mub_per_cell": 0.2, "e_above_lowest_polymorph_ev_per_fu": 0.00, "volume_a3_per_atom": 13.8, "mass_density_g_cm3": 6.4, "final_energy_ev_per_atom": -6.2896, "cell": [[3.973, 0.000, 0.000], [0.000, 3.973, 0.000], [0.000, 0.000, 3.493]], "species": ["Al", "Al", "Cu", "Mo"], "frac_coords": [[0.000, 0.500, 0.000], [0.500, 0.000, 0.000], [0.000, 0.000, 0.500], [0.500, 0.500, 0.500]]}

(4)
{"formula": "Al2CuMo", "functional": "PBEsol", "state": "optimized geometry", "e_form_ev_per_atom": -0.10, "m_tot_mub_per_cell": 0.0, "e_above_lowest_polymorph_ev_per_fu": 0.47, "volume_a3_per_atom": 13.9, "mass_density_g_cm3": 6.4, "final_energy_ev_per_atom": -6.1731, "cell": [[2.733, 0.000, 0.000], [0.000, 2.733, 0.000], [0.000, 0.000, 7.470]], "species": ["Al", "Al", "Cu", "Mo"], "frac_coords": [[0.000, 0.000, 0.232], [0.000, 0.000, 0.768], [0.500, 0.500, 0.000], [0.500, 0.500, 0.500]]}

(5)
{"formula": "Al2CuMo", "functional": "PBEsol", "state": "optimized geometry", "e_form_ev_per_atom": -0.17, "m_tot_mub_per_cell": 0.0, "e_above_lowest_polymorph_ev_per_fu": 0.19, "volume_a3_per_atom": 14.1, "mass_density_g_cm3": 6.3, "final_energy_ev_per_atom": -6.2412, "cell": [[2.840, -3.550, 0.000], [2.840, 3.550, 0.000], [0.000, 0.000, 2.801]], "species": ["Al", "Al", "Cu", "Mo"], "frac_coords": [[0.000, 0.500, 0.000], [0.500, 0.000, 0.000], [0.000, 0.000, 0.500], [0.500, 0.500, 0.500]]}

(6)
{"formula": "AlCuMo2", "functional": "PBEsol", "state": "optimized geometry", "e_form_ev_per_atom": 0.17, "m_tot_mub_per_cell": 0.0, "volume_a3_per_atom": 14.5, "mass_density_g_cm3": 8.1, "final_energy_ev_per_atom": -7.8209, "cell": [[1.366, 0.789, 8.944], [-1.366, 0.789, 8.944], [0.000, -1.578, 8.944]], "species": ["Al", "Cu", "Mo", "Mo"], "frac_coords": [[0.000, 0.000, 0.000], [0.744, 0.744, 0.744], [0.249, 0.249, 0.249], [0.493, 0.493, 0.493]]}

(7)
{"formula": "AlCuN2", "functional": "PBEsol", "state": "optimized geometry", "e_form_raw_ev_per_atom": 0.056, "m_tot_mub_per_cell": 0.0, "volume_a3_per_atom": 10.4, "mass_density_g_cm3": 4.7, "final_energy_ev_per_atom": -6.3135, "cell": [[1.445, 0.834, 5.730], [-1.445, 0.834, 5.730], [0.000, -1.669, 5.730]], "species": ["Al", "Cu", "N", "N"], "frac_coords": [[0.000, 0.000, 0.000], [0.500, 0.500, 0.500], [0.396, 0.396, 0.396], [0.604, 0.604, 0.604]]}

(8)
{"formula": "Na2AlCuN", "functional": "PBEsol", "state": "optimized geometry", "e_form_raw_ev_per_atom": 0.347, "m_tot_mub_per_cell": 0.0, "volume_a3_per_atom": 17.4, "mass_density_g_cm3": 2.9, "final_energy_ev_per_atom": -3.6037, "cell": [[4.912, 0.000, 0.000], [0.000, 4.912, 0.000], [0.000, 0.000, 3.612]], "species": ["Na", "Na", "Al", "Cu", "N"], "frac_coords": [[0.000, 0.500, 0.000], [0.500, 0.000, 0.000], [0.000, 0.000, 0.500], [0.500, 0.500, 0.500], [0.500, 0.500, 0.000]]}

(9)
{"formula": "Nb2AlTlCu", "functional": "PBEsol", "state": "optimized geometry", "e_form_ev_per_atom": 0.73, "m_tot_mub_per_cell": 0.0, "volume_a3_per_atom": 19.4, "mass_density_g_cm3": 8.2, "final_energy_ev_per_atom": -5.8135, "cell": [[4.736, 0.000, 0.000], [0.000, 4.736, 0.000], [0.000, 0.000, 4.321]], "species": ["Nb", "Nb", "Al", "Tl", "Cu"], "frac_coords": [[0.000, 0.500, 0.000], [0.500, 0.000, 0.000], [0.000, 0.000, 0.500], [0.500, 0.500, 0.500], [0.000, 0.000, 0.000]]}

(10)
{"formula": "NdAl3Cu", "functional": "PBEsol", "state": "optimized geometry", "e_form_ev_per_atom": -0.47, "m_tot_mub_per_cell": 0.0, "volume_a3_per_atom": 18.5, "mass_density_g_cm3": 5.2, "final_energy_ev_per_atom": -4.8257, "cell": [[-2.095, 2.095, 5.279], [2.095, -2.095, 5.279], [2.095, 2.095, -5.279]], "species": ["Nd", "Al", "Al", "Al", "Cu"], "frac_coords": [[0.000, 0.000, 0.000], [0.252, 0.752, 0.500], [0.592, 0.592, 0.000], [0.752, 0.252, 0.500], [0.369, 0.369, 0.000]]}

(11)
{"formula": "NdAl2Cu9", "functional": "PBEsol", "state": "optimized geometry", "e_form_ev_per_atom": -0.19, "m_tot_mub_per_cell": 0.0, "volume_a3_per_atom": 13.6, "mass_density_g_cm3": 7.8, "final_energy_ev_per_atom": -4.5527, "cell": [[-4.987, 4.987, 3.282], [4.987, -4.987, 3.282], [4.987, 4.987, -3.282]], "species": ["Nd", "Nd", "Al", "Al", "Al", "Al", "Cu", "Cu", "Cu", "Cu", "Cu", "Cu", "Cu", "Cu", "Cu", "Cu", "Cu", "Cu", "Cu", "Cu", "Cu", "Cu", "Cu", "Cu"], "frac_coords": [[0.375, 0.625, 0.750], [0.625, 0.375, 0.250], [0.000, 0.000, 0.000], [0.000, 0.000, 0.500], [0.000, 0.500, 0.000], [0.500, 0.000, 0.500], [0.125, 0.875, 0.250], [0.140, 0.559, 0.336], [0.140, 0.805, 0.582], [0.195, 0.277, 0.336], [0.195, 0.860, 0.918], [0.277, 0.195, 0.836], [0.277, 0.441, 0.082], [0.441, 0.277, 0.582], [0.441, 0.860, 0.164], [0.559, 0.140, 0.836], [0.559, 0.723, 0.418], [0.723, 0.559, 0.918], [0.723, 0.805, 0.164], [0.805, 0.140, 0.082], [0.805, 0.723, 0.664], [0.860, 0.195, 0.418], [0.860, 0.441, 0.664], [0.875, 0.125, 0.750]]}

(12)
{"formula": "NdAl8Cu4", "functional": "PBEsol", "state": "optimized geometry", "e_form_ev_per_atom": -0.32, "m_tot_mub_per_cell": 0.0, "volume_a3_per_atom": 15.1, "mass_density_g_cm3": 5.2, "final_energy_ev_per_atom": -4.5711, "cell": [[-4.380, 4.380, 2.561], [4.380, -4.380, 2.561], [4.380, 4.380, -2.561]], "species": ["Nd", "Al", "Al", "Al", "Al", "Al", "Al", "Al", "Al", "Cu", "Cu", "Cu", "Cu"], "frac_coords": [[0.000, 0.000, 0.000], [0.000, 0.348, 0.348], [0.000, 0.652, 0.652], [0.280, 0.500, 0.780], [0.348, 0.000, 0.348], [0.500, 0.280, 0.780], [0.500, 0.720, 0.220], [0.652, 0.000, 0.652], [0.720, 0.500, 0.220], [0.000, 0.000, 0.500], [0.000, 0.500, 0.000], [0.500, 0.000, 0.000], [0.500, 0.500, 0.500]]}